[1]
5
Lattice="-2.1415 2.1415 6.2506 2.1415 -2.1415 6.2506 2.1415 2.1415 -6.2506" Properties=species:S:1:pos:R:3 comment="PBE Al2Hg2Sb, optimized geometry" e_above_lowest_polymorph_ev_per_fu=0.353 e_form_raw_ev_per_atom=0.251 total_magnetization_mub_per_cell=0.000 pbc="T T T"
Al 2.1415 0.0000 3.1253
Al 0.0000 2.1415 3.1253
Hg 0.0000 0.0000 1.4059
Hg 0.0000 0.0000 11.0954
Sb 0.0000 0.0000 6.2506



[2]
5
Lattice="5.3291 0.0000 0.0000 0.0000 5.3291 0.0000 0.0000 0.0000 5.3291" Properties=species:S:1:pos:R:3 comment="PBE AlHgSb3, optimized geometry" e_above_lowest_polymorph_ev_per_fu=0.000 e_form_raw_ev_per_atom=0.501 total_magnetization_mub_per_cell=0.000 pbc="T T T"
Al 0.0000 0.0000 0.0000
Hg 2.6645 2.6645 2.6645
Sb 0.0000 0.0000 2.6645
Sb 0.0000 2.6645 0.0000
Sb 2.6645 0.0000 0.0000



[3]
10
Lattice="7.4429 0.0000 0.0000 0.0000 7.4429 0.0000 0.0000 0.0000 4.2073" Properties=species:S:1:pos:R:3 comment="PBE Al2Hg2Sb, optimized geometry" e_above_lowest_polymorph_ev_per_fu=0.000 e_form_raw_ev_per_atom=0.181 total_magnetization_mub_per_cell=0.000 pbc="T T T"
Al 0.9675 2.7540 0.0000
Al 2.7540 6.4754 0.0000
Al 4.6889 0.9675 0.0000
Al 6.4754 4.6889 0.0000
Hg 1.2984 5.0198 2.1036
Hg 2.4231 1.2984 2.1036
Hg 5.0198 6.1445 2.1036
Hg 6.1445 2.4231 2.1036
Sb 0.0000 0.0000 0.0000
Sb 3.7214 3.7214 0.0000



[4]
5
Lattice="5.5930 0.0000 0.0000 0.0000 5.5930 0.0000 0.0000 0.0000 5.5930" Properties=species:S:1:pos:R:3 comment="PBE AlHgSb3, optimized geometry" e_above_lowest_polymorph_ev_per_fu=2.084 e_form_raw_ev_per_atom=0.918 total_magnetization_mub_per_cell=0.000 pbc="T T T"
Al 0.0000 0.0000 0.0000
Hg 2.7965 2.7965 2.7965
Sb 0.0000 2.7965 2.7965
Sb 2.7965 0.0000 2.7965
Sb 2.7965 2.7965 0.0000



[5]
4
Lattice="4.9195 0.0000 0.0000 0.0000 4.9195 0.0000 0.0000 0.0000 3.6470" Properties=species:S:1:pos:R:3 comment="PBE Al2HgSb, optimized geometry" e_above_lowest_polymorph_ev_per_fu=0.317 e_form_raw_ev_per_atom=0.200 total_magnetization_mub_per_cell=0.000 pbc="T T T"
Al 0.0000 2.4598 0.0000
Al 2.4598 0.0000 0.0000
Hg 0.0000 0.0000 1.8235
Sb 2.4598 2.4598 1.8235



[6]
4
Lattice="0.0000 3.5693 3.5693 3.5693 0.0000 3.5693 3.5693 3.5693 0.0000" Properties=species:S:1:pos:R:3 comment="PBE Al2HgSb, optimized geometry" e_above_lowest_polymorph_ev_per_fu=0.592 e_form_raw_ev_per_atom=0.269 total_magnetization_mub_per_cell=0.000 pbc="T T T"
Al 0.0000 0.0000 0.0000
Al 1.7846 1.7846 1.7846
Hg 3.5693 3.5693 3.5693
Sb 5.3539 5.3539 5.3539



[7]
4
Lattice="2.0200 1.1663 6.5740 -2.0200 1.1663 6.5740 0.0000 -2.3325 6.5740" Properties=species:S:1:pos:R:3 comment="PBE Al2HgSb, optimized geometry" e_above_lowest_polymorph_ev_per_fu=0.000 e_form_raw_ev_per_atom=0.121 total_magnetization_mub_per_cell=0.000 pbc="T T T"
Al 0.0000 0.0000 4.9138
Al 0.0000 0.0000 14.8082
Hg 0.0000 0.0000 9.8610
Sb 0.0000 0.0000 0.0000



[8]
5
Lattice="5.5328 0.0000 0.0000 0.0000 5.5328 0.0000 0.0000 0.0000 5.8116" Properties=species:S:1:pos:R:3 comment="PBE AlHgSb2Te, optimized geometry" e_above_lowest_polymorph_ev_per_fu=2.086 e_form_raw_ev_per_atom=0.826 total_magnetization_mub_per_cell=0.003 pbc="T T T"
Al 0.0000 0.0000 0.0000
Hg 2.7664 2.7664 2.9058
Sb 0.0000 2.7664 2.9058
Sb 2.7664 0.0000 2.9058
Te 2.7664 2.7664 0.0000



[9]
5
Lattice="5.3640 0.0000 0.0000 0.0000 5.3640 0.0000 0.0000 0.0000 5.3812" Properties=species:S:1:pos:R:3 comment="PBE AlHgSb2Te, optimized geometry" e_above_lowest_polymorph_ev_per_fu=0.000 e_form_raw_ev_per_atom=0.409 total_magnetization_mub_per_cell=0.000 pbc="T T T"
Al 0.0000 0.0000 0.0000
Hg 2.6820 2.6820 2.6906
Sb 0.0000 2.6820 0.0000
Sb 2.6820 0.0000 0.0000
Te 0.0000 0.0000 2.6906



[10]
5
Lattice="5.2674 0.0000 0.0000 0.0000 5.2674 0.0000 0.0000 0.0000 4.8089" Properties=species:S:1:pos:R:3 comment="PBE AlZnHg2Sb, optimized geometry" e_form_raw_ev_per_atom=0.414 total_magnetization_mub_per_cell=0.000 pbc="T T T"
Al 0.0000 0.0000 0.0000
Zn 0.0000 0.0000 2.4044
Hg 0.0000 2.6337 0.0000
Hg 2.6337 0.0000 0.0000
Sb 2.6337 2.6337 2.4044



[11]
4
Lattice="1.7036 0.9835 8.8020 -1.7036 0.9835 8.8020 0.0000 -1.9671 8.8020" Properties=species:S:1:pos:R:3 comment="PBE ScAlHg2, optimized geometry" total_magnetization_mub_per_cell=0.000 ef_ev_per_atom=-0.06 pbc="T T T"
Sc 0.0000 0.0000 0.0000
Al 0.0000 0.0000 13.2031
Hg 0.0000 0.0000 6.5419
Hg 0.0000 0.0000 19.8643



[12]
6
Lattice="4.6942 0.0000 0.0000 0.0000 3.2151 0.0000 0.0000 0.0000 8.0041" Properties=species:S:1:pos:R:3 comment="PBE ScAlHg, optimized geometry" e_above_lowest_polymorph_ev_per_fu=0.042 total_magnetization_mub_per_cell=0.000 ef_ev_per_atom=-0.37 pbc="T T T"
Sc 1.1735 0.0000 1.8763
Sc 3.5206 0.0000 6.1278
Al 1.1735 1.6076 7.4124
Al 3.5206 1.6076 0.5918
Hg 1.1735 1.6076 4.7754
Hg 3.5206 1.6076 3.2287